Record 1
{"formula": "Mn5InPd6", "functional": "PBE", "state": "optimized geometry", "lattice_angstrom": [[4.4368, 0.0000, 0.0000], [0.0000, 6.3514, 0.0000], [-1.7809, 0.0000, 6.6574]], "species": ["Mn", "Mn", "Mn", "Mn", "Mn", "In", "Pd", "Pd", "Pd", "Pd", "Pd", "Pd"], "frac_coords": [[0.0000, 0.0000, 0.0000], [0.3280, 0.0000, 0.6656], [0.3295, 0.5000, 0.6660], [0.6705, 0.5000, 0.3340], [0.6720, 0.0000, 0.3344], [0.0000, 0.5000, 0.0000], [0.1746, 0.2464, 0.3401], [0.1746, 0.7536, 0.3401], [0.5000, 0.2381, 0.0000], [0.5000, 0.7619, 0.0000], [0.8254, 0.2464, 0.6599], [0.8254, 0.7536, 0.6599]], "delta_e_f_ev_per_atom": -0.246, "sg": "No. 10", "n_ef_per_ev_fu": 5.7}


Record 2
{"formula": "Hf3S2N2", "functional": "PBE", "state": "optimized geometry", "lattice_angstrom": [[6.0566, -1.7256, 0.0000], [6.0566, 1.7256, 0.0000], [-2.2347, 0.0000, 5.4607]], "species": ["Hf", "Hf", "Hf", "S", "S", "N", "N"], "frac_coords": [[0.0000, 0.0000, 0.0000], [0.2497, 0.2497, 0.7192], [0.7503, 0.7503, 0.2808], [0.3976, 0.3976, 0.1948], [0.6024, 0.6024, 0.8052], [0.1590, 0.1590, 0.3305], [0.8410, 0.8410, 0.6695]], "formation_energy_uncorrected_ev_per_atom": -1.59, "sg": "No. 12", "n_ef_per_ev_fu": 1.3}


| no. | calculated volume (Å³ per cell) |
| --- | --- |
| 1 | 188 |
| 2 | 114 |